No. 1
The following is a DFT calculation (PBE-GGA) of V2Te6Mo after structural relaxation.

Calculated values
* spin magnetization: 0.000 μB per atom
* E above lowest polymorph: 0 meV/atom
* uncorrected energy: -5.6205 eV per atom
* symmetry: C2/m
* uncorrected formation energy: -2.67 eV/f.u.

a = 9.126 Å, b = 9.126 Å, c = 8.281 Å
α = 114.40°, β = 114.40°, γ = 22.50°
Positions (direct):
V 0.144 0.144 0.274
V 0.856 0.856 0.726
Te 0.003 0.003 0.744
Te 0.318 0.318 0.452
Te 0.334 0.334 0.938
Te 0.666 0.666 0.062
Te 0.682 0.682 0.548
Te 0.997 0.997 0.256
Mo 0.500 0.500 0.000

No. 2
The following is a DFT calculation (PBE-GGA) of V2Te6Mo after structural relaxation.

Calculated values
* spin magnetization: 0.002 μB per atom
* E above lowest polymorph: 279 meV/atom
* uncorrected energy: -5.3413 eV per atom
* symmetry: C2/m
* uncorrected formation energy: -0.15 eV/f.u.

a = 6.866 Å, b = 6.866 Å, c = 9.890 Å
α = 93.41°, β = 93.41°, γ = 30.04°
Positions (direct):
V 0.249 0.249 0.366
V 0.751 0.751 0.634
Te 0.149 0.149 0.100
Te 0.384 0.384 0.579
Te 0.406 0.406 0.226
Te 0.594 0.594 0.774
Te 0.616 0.616 0.421
Te 0.851 0.851 0.900
Mo 0.500 0.500 0.000

No. 3
The following is a DFT calculation (PBE-GGA) of V3TeMo after structural relaxation.

Calculated values
* spin magnetization: 0.274 μB per atom
* uncorrected energy: -6.6162 eV per atom
* symmetry: Pm-3m
* uncorrected formation energy: 8.25 eV/f.u.

a = 4.762 Å, b = 4.762 Å, c = 4.762 Å
α = 90.00°, β = 90.00°, γ = 90.00°
Positions (direct):
V 0.000 0.000 0.500
V 0.000 0.500 0.000
V 0.500 0.000 0.000
Te 0.000 0.000 0.000
Mo 0.500 0.500 0.500

No. 4
The following is a DFT calculation (PBE-GGA) of TeMoW2 after structural relaxation.

Calculated values
* spin magnetization: 0.000 μB per atom
* uncorrected energy: -9.3689 eV per atom
* symmetry: Cm
* uncorrected formation energy: 2.40 eV/f.u.

a = 5.066 Å, b = 5.066 Å, c = 4.709 Å
α = 101.80°, β = 101.80°, γ = 36.68°
Positions (direct):
Te 0.000 0.000 0.000
Mo 0.758 0.758 0.263
W 0.242 0.242 0.702
W 0.503 0.503 0.503

No. 5
The following is a DFT calculation (PBE-GGA) of Te2MoW after structural relaxation.

Calculated values
* spin magnetization: 0.000 μB per atom
* E above lowest polymorph: 126 meV/atom
* uncorrected energy: -7.2834 eV per atom
* symmetry: P4mm
* uncorrected formation energy: 0.93 eV/f.u.

a = 3.249 Å, b = 3.249 Å, c = 8.257 Å
α = 90.00°, β = 90.00°, γ = 90.00°
Positions (direct):
Te 0.000 0.000 0.000
Te 0.500 0.500 0.403
Mo 0.500 0.500 0.807
W 0.000 0.000 0.600

No. 6
The following is a DFT calculation (PBE-GGA) of Te2MoW after structural relaxation.

Calculated values
* spin magnetization: 0.000 μB per atom
* E above lowest polymorph: 952 meV/atom
* uncorrected energy: -6.4573 eV per atom
* symmetry: C2/m
* uncorrected formation energy: 4.24 eV/f.u.

a = 5.414 Å, b = 5.414 Å, c = 3.318 Å
α = 105.85°, β = 105.85°, γ = 109.43°
Positions (direct):
Te 0.000 0.500 0.000
Te 0.500 0.000 0.000
Mo 0.000 0.000 0.500
W 0.500 0.500 0.500